Model one:
DFT (PBE) results for an optimized crystal structure of PrNd5Dy.

Output
D(E_F), states/eV/cell: 12.934
SG: Immm, No. 71

abc: 5.9309 8.0728 8.0728
angles: 66.32 68.45 68.45
Closest atoms and distances in Å follow each position.
Fractional positions:
Nd1 0.5000 0.1759 0.8241  1 Pr 2.86, 1 Nd 3.11
Nd2 0.7495 0.2505 0.2505  1 Pr 3.03, 1 Dy 3.04
Pr1 0.5000 0.5000 0.5000  6 Nd 2.86-3.03
Nd3 0.5000 0.8241 0.1759  1 Pr 2.86, 1 Nd 3.11
Dy1 0.0000 0.0000 0.0000  6 Nd 3.04-3.35
Nd4 0.2505 0.7495 0.7495  1 Pr 3.03, 1 Dy 3.04
Nd5 0.0000 0.5000 0.5000  2 Pr 2.97

Model two:
DFT (PBE) results for an optimized crystal structure of PrNd5Dy.

Output
D(E_F), states/eV/cell: 19.824
SG: P2_1/m, No. 11

abc: 3.7046 9.5917 14.3662
angles: 105.05 90.00 90.00
Closest atoms and distances in Å follow each position.
Fractional positions:
Pr1 0.2500 0.8983 0.8835  5 Nd 3.45-3.80, 2 Dy 3.55, 2 Pr 3.70
Nd1 0.7500 0.1986 0.8765  3 Pr 3.45-3.80, 8 Nd 3.50-3.70
Dy1 0.7500 0.6619 0.6974  7 Nd 3.48-3.61, 2 Pr 3.55, 2 Dy 3.70
Nd2 0.7500 0.3330 0.5083  3 Dy 3.50-3.59, 8 Nd 3.54-3.76
Nd3 0.2500 0.3511 0.7214  10 Nd 3.50-3.85, 2 Dy 3.60
Nd4 0.2500 0.8014 0.1235  3 Pr 3.45-3.80, 8 Nd 3.50-3.70
Dy2 0.2500 0.3381 0.3026  7 Nd 3.48-3.61, 2 Pr 3.55, 2 Dy 3.70
Nd5 0.2500 0.6670 0.4917  3 Dy 3.50-3.59, 8 Nd 3.54-3.76
Pr2 0.7500 0.1017 0.1165  5 Nd 3.45-3.80, 2 Dy 3.55, 2 Pr 3.70
Nd6 0.7500 0.6489 0.2786  10 Nd 3.50-3.85, 2 Dy 3.60
Nd7 0.7500 0.5911 0.9231  1 Dy 3.48, 9 Nd 3.57-3.70, 2 Pr 3.65
Nd8 0.2500 0.0085 0.3794  1 Dy 3.61, 10 Nd 3.68-4.01
Nd9 0.2500 0.4089 0.0769  1 Dy 3.48, 9 Nd 3.57-3.70, 2 Pr 3.65
Nd10 0.7500 0.9915 0.6206  1 Dy 3.61, 10 Nd 3.68-4.01

Stability order, top to bottom: model two, model one

Model one:
DFT (PBE) results for an optimized crystal structure of Pr12Nd2Dy5.

Output
D(E_F), states/eV/cell: 27.131
SG: C2/m, No. 12

abc: 11.8198 8.8599 9.5470
angles: 70.71 90.00 131.84
Closest atoms and distances in Å follow each position.
Fractional positions:
Pr1 0.4396 0.3908 0.1981  1 Dy 3.35, 5 Pr 3.36-3.63, 1 Nd 3.61
Pr2 0.8277 0.2155 0.5832  4 Pr 3.36-3.63, 3 Dy 3.56-3.69, 1 Nd 3.58
Pr3 0.6122 0.7845 0.4168  4 Pr 3.36-3.63, 3 Dy 3.56-3.69, 1 Nd 3.58
Pr4 0.5604 0.6092 0.8019  1 Dy 3.35, 5 Pr 3.36-3.63, 1 Nd 3.61
Pr5 0.0488 0.6092 0.8019  1 Dy 3.35, 5 Pr 3.36-3.63, 1 Nd 3.61
Dy1 0.8044 0.6087 0.3386  9 Pr 3.46-3.84, 2 Dy 3.55-3.68
Pr6 0.5779 0.1558 0.2155  5 Pr 3.37-3.72, 2 Dy 3.46-3.66
Pr7 0.4221 0.8442 0.7845  5 Pr 3.37-3.72, 2 Dy 3.46-3.66
Pr8 0.3878 0.2155 0.5832  4 Pr 3.36-3.63, 3 Dy 3.56-3.69, 1 Nd 3.58
Dy2 0.3109 0.6217 0.2329  6 Pr 3.35-3.63, 2 Nd 3.67, 2 Dy 3.68-3.75
Nd1 0.7268 0.0000 0.0000  10 Pr 3.58-3.83, 2 Dy 3.67
Pr9 0.9512 0.3908 0.1981  1 Dy 3.35, 5 Pr 3.36-3.63, 1 Nd 3.61
Nd2 0.2732 0.0000 0.0000  10 Pr 3.58-3.83, 2 Dy 3.67
Pr10 0.8841 0.7682 0.9407  4 Dy 3.46-3.79, 4 Pr 3.52-3.72, 2 Nd 3.72
Dy3 0.1956 0.3913 0.6614  9 Pr 3.46-3.84, 2 Dy 3.55-3.68
Pr11 0.1159 0.2318 0.0593  4 Dy 3.46-3.79, 4 Pr 3.52-3.72, 2 Nd 3.72
Dy4 0.0000 0.0000 0.5000  4 Dy 3.55-3.75, 6 Pr 3.79-3.82
Dy5 0.6891 0.3783 0.7671  6 Pr 3.35-3.63, 2 Nd 3.67, 2 Dy 3.68-3.75
Pr12 0.1723 0.7845 0.4168  4 Pr 3.36-3.63, 3 Dy 3.56-3.69, 1 Nd 3.58

Model two:
DFT (PBE) results for an optimized crystal structure of Pr12Nd2Dy5.

Output
D(E_F), states/eV/cell: 26.116
SG: C2/m, No. 12

abc: 11.8493 10.8710 6.3003
angles: 100.49 90.00 123.02
Closest atoms and distances in Å follow each position.
Fractional positions:
Nd1 0.2278 0.0000 0.0000  8 Pr 3.40-3.70
Pr1 0.0610 0.6034 0.7994  5 Pr 3.43-3.72, 3 Dy 3.47-3.75, 1 Nd 3.58
Pr2 0.4430 0.8861 0.7263  6 Pr 3.62-3.94, 2 Nd 3.70, 2 Dy 3.78-3.86
Dy1 0.7859 0.5718 0.4507  8 Pr 3.47-3.75, 3 Dy 3.55-3.85
Nd2 0.7722 0.0000 0.0000  8 Pr 3.40-3.70
Dy2 0.6783 0.3567 0.8576  9 Pr 3.47-3.87, 2 Dy 3.55-3.82
Pr3 0.5424 0.6034 0.7994  5 Pr 3.43-3.72, 3 Dy 3.47-3.75, 1 Nd 3.58
Dy3 0.2141 0.4282 0.5493  8 Pr 3.47-3.75, 3 Dy 3.55-3.85
Pr4 0.3536 0.2080 0.6153  1 Nd 3.40, 6 Pr 3.43-3.78, 3 Dy 3.47-3.65
Pr5 0.9390 0.3966 0.2006  5 Pr 3.43-3.72, 3 Dy 3.47-3.75, 1 Nd 3.58
Pr6 0.8544 0.2080 0.6153  1 Nd 3.40, 6 Pr 3.43-3.78, 3 Dy 3.47-3.65
Dy4 0.0000 0.0000 0.5000  6 Pr 3.43-3.50
Pr7 0.8781 0.7561 0.0021  4 Dy 3.43-3.59, 4 Pr 3.50-3.78, 2 Nd 3.50
Pr8 0.4576 0.3966 0.2006  5 Pr 3.43-3.72, 3 Dy 3.47-3.75, 1 Nd 3.58
Dy5 0.3217 0.6433 0.1424  9 Pr 3.47-3.87, 2 Dy 3.55-3.82
Pr9 0.6464 0.7920 0.3847  1 Nd 3.40, 6 Pr 3.43-3.78, 3 Dy 3.47-3.65
Pr10 0.1456 0.7920 0.3847  1 Nd 3.40, 6 Pr 3.43-3.78, 3 Dy 3.47-3.65
Pr11 0.5570 0.1139 0.2737  6 Pr 3.62-3.94, 2 Nd 3.70, 2 Dy 3.78-3.86
Pr12 0.1219 0.2439 0.9979  4 Dy 3.43-3.59, 4 Pr 3.50-3.78, 2 Nd 3.50

Stability order, top to bottom: model two, model one